Crystalline Cs2MoF at its relaxed geometry. Source: Alexandria, functional PBE+U.

Output
N(E_F): 1.06 states/eV per cell
E above lowest polymorph: 0 meV/atom

Unit cell a=8.151 b=8.151 c=8.151 alpha=114.05 beta=114.05 gamma=100.65
Positions (direct):
Cs: 0.010 0.125 0.385
Cs: 0.375 0.990 0.115
Cs: 0.740 0.625 0.615
Cs: 0.875 0.260 0.885
Mo: 0.250 0.750 0.500
Mo: 0.500 0.500 0.000
F: 0.000 0.000 0.000
F: 0.750 0.250 0.500